VASP calculation (PBE-GGA) on K2CdPt after structural relaxation.

* energy of formation: 0.15 eV/atom
* N(E_F): 1.81 states/eV/f.u.
* crystal system: monoclinic
* energy above the lowest structure with this stoichiometry: 298 meV per atom

Cell lengths 9.2818, 3.0022, 9.0383 Å; angles 90.00, 93.35, 90.00 degrees
Last column: nearest neighbours and their distance in Å.
Space group C2/m (No. 12)
Inequivalent atoms, fractional coordinates:
K 0.2434 0.0000 0.2033  2 K 3.00, 3 Pt 3.09-3.20
Cd 0.0000 0.0000 0.5000  2 Cd 3.00
Pt 0.0000 0.5000 0.0000  2 Pt 3.00, 6 K 3.09-3.20

---

VASP calculation (PBE-GGA) on Rb3Pm3SbS8 after structural relaxation.

* formation energy without anion corrections: -1.49 eV/atom
* N(E_F): 2.26 states/eV/f.u.
* crystal system: trigonal

Cell lengths 8.2298, 8.2298, 23.5400 Å; angles 90.00, 90.00, 120.00 degrees
Last column: nearest neighbours and their distance in Å.
Space group R-3m (No. 166, hexagonal axes)
Inequivalent atoms, fractional coordinates:
Rb 0.0000 0.5000 0.0000  6 S 3.37
Pm 0.0000 0.5000 0.5000  6 S 2.83-2.85
Sb 0.0000 0.0000 0.5000  6 S 2.68
S 0.0000 0.0000 0.2316  3 Pm 2.83
S 0.0181 0.5091 0.2290  1 Sb 2.68, 2 Pm 2.85

---

VASP calculation (PBE-GGA) on Pm2ZnCu12Ni3 after structural relaxation.

* energy of formation: 0.04 eV/atom
* N(E_F): 8.21 states/eV/f.u.
* crystal system: trigonal

Cell lengths 8.4943, 8.4943, 12.3579 Å; angles 90.00, 90.00, 120.00 degrees
Last column: nearest neighbours and their distance in Å.
Space group R-3m (No. 166, hexagonal axes)
Inequivalent atoms, fractional coordinates:
Pm 0.0000 0.0000 0.2467  3 Ni 2.68, 6 Cu 2.85-2.98
Zn 0.0000 0.0000 0.5000  6 Cu 2.38
Cu 0.0172 0.5086 0.2077  1 Zn 2.38, 5 Cu 2.42-2.54, 1 Ni 2.57
Cu 0.0526 0.5263 0.6011  6 Cu 2.42-2.62
Ni 0.0000 0.5000 0.0000  10 Cu 2.57-2.85, 2 Pm 2.68

---

VASP calculation (PBE-GGA) on CdAg5Te6 after structural relaxation.

* formation energy without anion corrections: -0.04 eV/atom
* N(E_F): 6.56 states/eV/f.u.
* crystal system: monoclinic

Cell lengths 7.2384, 12.4921, 7.2064 Å; angles 90.00, 109.35, 90.00 degrees
Last column: nearest neighbours and their distance in Å.
Space group C2/m (No. 12)
Inequivalent atoms, fractional coordinates:
Cd 0.0000 0.0000 0.0000  6 Te 3.00
Ag 0.0000 0.1628 0.5000  6 Te 2.93-2.96
Ag 0.0000 0.3326 0.0000  6 Te 2.94
Ag 0.0000 0.5000 0.5000  6 Te 2.89-2.95
Te 0.2431 0.5000 0.2525  5 Ag 2.89-2.94, 1 Cd 3.00
Te 0.2455 0.3301 0.7467  5 Ag 2.93-2.96, 1 Cd 3.00

---

VASP calculation (PBE-GGA) on Hf2Zn5Cu4 after structural relaxation.

* energy of formation: -0.08 eV/atom
* N(E_F): 2.74 states/eV/f.u.
* crystal system: orthorhombic

Cell lengths 5.0106, 8.2988, 16.4928 Å; angles 90.00, 90.00, 90.00 degrees
Last column: nearest neighbours and their distance in Å.
Space group Fmmm (No. 69)
Inequivalent atoms, fractional coordinates:
Hf 0.0000 0.0000 0.1083  6 Cu 2.85-2.86, 6 Zn 3.01-3.08
Zn 0.0000 0.0000 0.5000  4 Zn 2.42, 4 Cu 2.53
Zn 0.2500 0.2500 0.0000  4 Zn 2.42-2.51, 4 Cu 2.60
Zn 0.2500 0.2500 0.2500  4 Cu 2.45, 2 Zn 2.51
Cu 0.0000 0.1588 0.3694  5 Zn 2.45-2.60, 1 Cu 2.64

---

VASP calculation (PBE-GGA) on Fe2NiPIr after structural relaxation.

* energy of formation: 1.41 eV/atom
* N(E_F): 8.78 states/eV/f.u.
* crystal system: tetragonal
* energy above the lowest structure with this stoichiometry: 790 meV per atom

Cell lengths 4.6236, 4.6236, 4.5251 Å; angles 90.00, 90.00, 90.00 degrees
Last column: nearest neighbours and their distance in Å.
Space group P4/mmm (No. 123)
Inequivalent atoms, fractional coordinates:
Fe 0.0000 0.5000 0.0000  2 Ir 2.31
Ni 0.0000 0.0000 0.5000  2 Ir 2.26
P 0.5000 0.5000 0.5000  8 Fe 3.23, 4 Ni 3.27
Ir 0.0000 0.0000 0.0000  2 Ni 2.26, 4 Fe 2.31

---

VASP calculation (PBE-GGA) on Ag6Se3Cl after structural relaxation.

* formation energy without anion corrections: -0.11 eV/atom
* N(E_F): 4.20 states/eV/f.u.
* crystal system: orthorhombic

Cell lengths 10.7903, 13.4006, 6.5605 Å; angles 90.00, 90.00, 90.00 degrees
Last column: nearest neighbours and their distance in Å.
Space group Cmc2_1 (No. 36)
Inequivalent atoms, fractional coordinates:
Ag 0.0000 0.0048 0.0000  1 Cl 2.52, 2 Se 2.67
Ag 0.0000 0.2079 0.1220  3 Se 2.60-2.80, 1 Cl 2.61, 1 Ag 2.84
Ag 0.1450 0.4912 0.7315  4 Se 2.68-2.73, 1 Ag 2.95
Ag 0.1953 0.2753 0.7532  2 Se 2.62-2.63, 1 Cl 2.90
Se 0.0000 0.3910 0.9923  5 Ag 2.60-2.72
Se 0.2092 0.1105 0.9678  6 Ag 2.62-2.80
Cl 0.0000 0.1829 0.5165  2 Ag 2.52-2.61

---

VASP calculation (PBE-GGA) on LiNpGaRh after structural relaxation.

* energy of formation: -0.17 eV/atom
* N(E_F): 11.24 states/eV/f.u.
* crystal system: cubic

Cell lengths 6.5355, 6.5355, 6.5355 Å; angles 90.00, 90.00, 90.00 degrees
Last column: nearest neighbours and their distance in Å.
Space group F-43m (No. 216)
Inequivalent atoms, fractional coordinates:
Li 0.0000 0.0000 0.0000  4 Np 2.83, 4 Ga 2.83
Np 0.2500 0.2500 0.7500  4 Li 2.83, 4 Rh 2.83
Ga 0.2500 0.2500 0.2500  4 Li 2.83, 4 Rh 2.83
Rh 0.0000 0.0000 0.5000  4 Np 2.83, 4 Ga 2.83

---

VASP calculation (PBE-GGA) on MnPdAu2 after structural relaxation.

* energy of formation: 0.13 eV/atom
* N(E_F): 1.23 states/eV/f.u.
* crystal system: tetragonal

Cell lengths 7.3556, 7.3556, 5.4112 Å; angles 90.00, 90.00, 90.00 degrees
Last column: nearest neighbours and their distance in Å.
Space group I-42d (No. 122)
Inequivalent atoms, fractional coordinates:
Mn 0.0000 0.0000 0.0000  4 Au 2.64, 2 Pd 2.71
Pd 0.0000 0.0000 0.5000  2 Mn 2.71, 4 Au 2.73
Au 0.2409 0.2500 0.1250  2 Mn 2.64, 2 Au 2.71, 2 Pd 2.73

---

VASP calculation (PBE-GGA) on Sc8Tc2Ir after structural relaxation.

* energy of formation: -0.34 eV/atom
* N(E_F): 9.84 states/eV/f.u.
* crystal system: monoclinic

Cell lengths 16.0062, 4.6067, 6.4770 Å; angles 90.00, 109.87, 90.00 degrees
Last column: nearest neighbours and their distance in Å.
Space group C2/m (No. 12)
Inequivalent atoms, fractional coordinates:
Sc 0.0244 0.0000 0.2854  1 Tc 2.75, 2 Ir 2.79
Sc 0.1006 0.5000 0.9452  1 Ir 2.78, 2 Tc 2.82, 6 Sc 3.08-3.11
Sc 0.1651 0.5000 0.4517  1 Ir 2.76, 3 Tc 2.80-2.93, 1 Sc 3.09
Sc 0.1978 0.0000 0.7951  1 Tc 2.65
Tc 0.1780 0.0000 0.1854  7 Sc 2.65-2.93
Ir 0.0000 0.5000 0.5000  8 Sc 2.76-2.79

---

VASP calculation (PBE-GGA) on La3Nd2DyTe6 after structural relaxation.

* formation energy without anion corrections: -1.49 eV/atom
* N(E_F): 7.48 states/eV/f.u.
* crystal system: monoclinic

Cell lengths 19.6472, 4.5030, 9.0648 Å; angles 90.00, 102.96, 90.00 degrees
Last column: nearest neighbours and their distance in Å.
Space group C2/m (No. 12)
Inequivalent atoms, fractional coordinates:
La 0.0000 0.0000 0.0000  6 Te 3.20-3.27
La 0.1701 0.5000 0.3339  6 Te 3.21-3.26
Nd 0.1679 0.5000 0.8348  6 Te 3.16-3.22
Dy 0.0000 0.0000 0.5000  6 Te 3.08-3.12
Te 0.0001 0.5000 0.2616  2 Dy 3.12, 1 Nd 3.22, 3 La 3.26-3.27
Te 0.1610 0.0000 0.5835  1 Dy 3.08, 2 Nd 3.18, 3 La 3.23
Te 0.1670 0.0000 0.0804  3 Nd 3.16-3.17, 3 La 3.20-3.21

---

VASP calculation (PBE-GGA) on Ce12Ga3Cu after structural relaxation.

* energy of formation: -0.15 eV/atom
* N(E_F): 47.14 states/eV/f.u.
* crystal system: tetragonal

Cell lengths 4.6429, 4.6429, 18.3906 Å; angles 90.00, 90.00, 90.00 degrees
Last column: nearest neighbours and their distance in Å.
Space group P4/mmm (No. 123)
Inequivalent atoms, fractional coordinates:
Ce 0.0000 0.0000 0.0000  8 Ce 3.23, 4 Cu 3.28
Ce 0.0000 0.0000 0.2462  8 Ce 3.25-3.30, 4 Ga 3.28
Ce 0.0000 0.0000 0.5000  8 Ce 3.28, 4 Ga 3.28
Ce 0.0000 0.5000 0.1222  8 Ce 3.23-3.28, 2 Cu 3.23, 2 Ga 3.26
Ce 0.0000 0.5000 0.3738  8 Ce 3.28-3.30, 4 Ga 3.28-3.29
Ga 0.5000 0.5000 0.2470  12 Ce 3.26-3.29
Ga 0.5000 0.5000 0.5000  12 Ce 3.28
Cu 0.5000 0.5000 0.0000  12 Ce 3.23-3.28